First-principles (GGA-PBE) data for a geometry-optimized BaPtRh2 structure, as listed in Alexandria via LeMat-Bulk.

- Energy of formation: 0.22 eV per atom
- Size of the total moment: 0.000 μB/atom
- N(E_F): 5.43 states/eV/cell
- Energy above the lowest structure with this stoichiometry: 10.21 kcal/mol of atoms

Lattice parameters (Å, degrees): 3.054 4.651 5.974 90.00 100.35 90.00
Space group P2/m (No. 10)
Unique sites:
Ba 0.000 0.000 0.000
Pt 0.500 0.000 0.500
Rh 0.308 0.500 0.679


First-principles (GGA-PBE) data for a geometry-optimized Ba6PtRh structure, as listed in Alexandria via LeMat-Bulk.

- Energy of formation: -0.33 eV per atom
- Size of the total moment: 0.000 μB/atom
- N(E_F): 25.11 states/eV/cell

Lattice parameters (Å, degrees): 7.8223 7.8223 22.2907 90.00 90.00 120.00
Space group R-3 (No. 148, hexagonal axes)
Unique sites:
Ba 0.0034 0.6543 0.2491
Pt 0.0000 0.0000 0.0000
Rh 0.0000 0.0000 0.5000


First-principles (GGA-PBE) data for a geometry-optimized BaPt2Rh structure, as listed in Alexandria via LeMat-Bulk.

- Energy of formation: 0.45 eV per atom
- Size of the total moment: 0.258 μB/atom
- N(E_F): 13.41 states/eV/cell

Lattice parameters (Å, degrees): 3.0344 3.0344 29.5570 90.00 90.00 120.00
Space group R-3m (No. 166, hexagonal axes)
Unique sites:
Ba 0.0000 0.0000 0.0000
Pt 0.0000 0.0000 0.2379
Rh 0.0000 0.0000 0.5000


First-principles (GGA-PBE) data for a geometry-optimized BaPt2Rh structure, as listed in Alexandria via LeMat-Bulk.

- Energy of formation: 0.13 eV per atom
- Size of the total moment: 0.000 μB/atom
- N(E_F): 11.61 states/eV/cell

Lattice parameters (Å, degrees): 3.102 5.237 10.212 90.00 90.00 90.00
Space group Imm2 (No. 44)
Unique sites:
Ba 0.000 0.000 0.000
Pt 0.000 0.000 0.494
Pt 0.000 0.500 0.216
Rh 0.000 0.500 0.778